First-principles (GGA-PBE) data for an optimized crystal structure of Dy2YTm2, as listed in Alexandria via LeMat-Bulk.

Values from the calculation:
V   33.0 Å³/atom
Polymorph energy (0 for the lowest one)   463 meV per atom
Size of the total moment   0.00 μB per cell
Energy   -4.384 eV/atom
Calculated formation energy   0.538 eV/atom

Lattice parameters (Å, degrees): 5.8944 5.8944 9.5042 90.00 90.00 90.00
Closest atoms and distances in Å follow each position.
Space group I4/mmm (No. 139)
Unique sites:
Dy 0.0000 0.5000 0.2500 (multiplicity 4)  4 Tm 3.10
Y 0.0000 0.0000 0.0000 (multiplicity 2)  2 Tm 3.34
Tm 0.0000 0.0000 0.3510 (multiplicity 4)  1 Tm 2.83, 4 Dy 3.10



First-principles (GGA-PBE) data for an optimized crystal structure of Dy2YTm, as listed in Alexandria via LeMat-Bulk.

Values from the calculation:
V   31.2 Å³/atom
Polymorph energy (0 for the lowest one)   11 meV per atom
Size of the total moment   0.00 μB per cell
Energy   -5.011 eV/atom
Calculated formation energy   0.024 eV/atom

Lattice parameters (Å, degrees): 3.5376 3.5376 34.5537 90.00 90.00 120.00
Closest atoms and distances in Å follow each position.
Space group R-3m (No. 166, hexagonal axes)
Unique sites:
Dy 0.0000 0.0000 0.2492 (multiplicity 6)  3 Tm 3.51, 6 Dy 3.54, 3 Y 3.55
Y 0.0000 0.0000 0.0000 (multiplicity 3)  6 Y 3.54, 6 Dy 3.55
Tm 0.0000 0.0000 0.5000 (multiplicity 3)  6 Dy 3.51, 6 Tm 3.54



First-principles (GGA-PBE) data for an optimized crystal structure of Dy5Y2Tm4, as listed in Alexandria via LeMat-Bulk.

Values from the calculation:
V   31.7 Å³/atom
Polymorph energy (0 for the lowest one)   0 meV per atom
Size of the total moment   0.00 μB per cell
Energy   -4.747 eV/atom
Calculated formation energy   0.146 eV/atom

Lattice parameters (Å, degrees): 10.9413 7.2795 9.1348 90.00 106.69 90.00
Closest atoms and distances in Å follow each position.
Space group C2/m (No. 12)
Unique sites:
Dy 0.0000 0.0000 0.0000 (multiplicity 2)  4 Dy 3.16, 2 Tm 3.48
Dy 0.0701 0.2798 0.2760 (multiplicity 8)  2 Dy 3.16-3.21, 2 Y 3.38-3.44, 5 Tm 3.40-3.52
Y 0.1455 0.0000 0.6226 (multiplicity 4)  1 Y 3.33, 6 Dy 3.38-3.65, 4 Tm 3.43-3.65
Tm 0.1656 0.5000 0.6190 (multiplicity 4)  2 Tm 3.40-3.65, 6 Dy 3.40-3.44, 3 Y 3.43-3.65
Tm 0.1814 0.5000 0.9961 (multiplicity 4)  1 Tm 3.40, 1 Y 3.45, 5 Dy 3.48-3.52



Q: The highest V belongs to which entry?
A: Dy2YTm2